DFT (GGA-PBE) results for an optimized crystal structure of La2PmNdH.

Output
DOS at the Fermi energy	0.8510	states/eV per atom
DFT total energy	-4.723	eV/atom

a b c (Å): 5.2444 5.2444 5.1974
angles (deg): 90.00 90.00 90.00
Positions (direct):
La: 0.0000 0.5000 0.0000
La: 0.5000 0.0000 0.0000
Pm: 0.0000 0.0000 0.5000
Nd: 0.5000 0.5000 0.5000
H: 0.0000 0.0000 0.0000